Crystalline Sm2Zn3Pb at its relaxed geometry. Source: Alexandria via LeMat-Bulk, functional PBE.

Output
calculated total energy: -19.21 eV per cell
E above lowest polymorph: 17 meV/atom
energy relative to the elements: -2.246 eV per formula unit
spin magnetization: 0.000 μB/f.u.

Cell and atoms, written as CIF:
```
data_Sm2Zn3Pb
_chemical_formula_sum 'Sm2 Zn3 Pb1'
_symmetry_space_group_name_H-M 'P m m 2'
_symmetry_Int_Tables_number 25
_cell_length_a 3.734
_cell_length_b 4.609
_cell_length_c 8.106
_cell_angle_alpha 90.00
_cell_angle_beta 90.00
_cell_angle_gamma 90.00
loop_
_symmetry_equiv_pos_as_xyz
'x,y,z'
'-x,-y,z'
'-x,y,z'
'x,-y,z'
loop_
_atom_site_label
_atom_site_type_symbol
_atom_site_fract_x
_atom_site_fract_y
_atom_site_fract_z
Sm1 Sm 0.000 0.000 0.000
Sm2 Sm 0.000 0.500 0.468
Zn1 Zn 0.500 0.000 0.310
Zn2 Zn 0.500 0.000 0.622
Zn3 Zn 0.500 0.500 0.167
Pb1 Pb 0.500 0.500 0.816
```